Record 1
Computed, not measured: a crystal of InOsSe2 relaxed with PBEsol at the SCAN level of DFT.

- Energy relative to the elements, uncorrected: 983 meV per atom

Unit cell a=4.0529 b=4.0529 c=4.3962 alpha=90.00 beta=90.00 gamma=90.00
With the nearest neighbours (Å) after each atom.
Fractional positions:
In: 0.0000 0.0000 0.0000  4 Os 2.87, 8 Se 2.99
Os: 0.5000 0.5000 0.0000  4 In 2.87, 8 Se 2.99
Se: 0.0000 0.5000 0.5000  4 Se 2.87, 4 In 2.99, 4 Os 2.99
Se: 0.5000 0.0000 0.5000  4 Se 2.87, 4 In 2.99, 4 Os 2.99

---

Record 2
Computed, not measured: a crystal of InSi2Os relaxed with PBEsol at the SCAN level of DFT.

- Energy relative to the elements, uncorrected: 218 meV per atom

Unit cell a=8.3300 b=8.3300 c=8.3300 alpha=21.04 beta=21.04 gamma=21.04
With the nearest neighbours (Å) after each atom.
Fractional positions:
In: 0.0000 0.0000 0.0000  6 Si 2.92, 6 In 3.04
Si: 0.2376 0.2376 0.2376  3 Os 2.47
Si: 0.7624 0.7624 0.7624  3 Os 2.47
Os: 0.5000 0.5000 0.5000  6 Si 2.47

---

Record 3
Computed, not measured: a crystal of InSi2Os relaxed with PBEsol at the SCAN level of DFT.

- Energy relative to the elements, uncorrected: 667 meV per atom

Unit cell a=4.1136 b=4.1136 c=3.6390 alpha=90.00 beta=90.00 gamma=90.00
With the nearest neighbours (Å) after each atom.
Fractional positions:
In: 0.0000 0.0000 0.0000  8 Si 2.75, 4 Os 2.91
Si: 0.0000 0.5000 0.5000  4 In 2.75, 4 Os 2.75, 4 Si 2.91
Si: 0.5000 0.0000 0.5000  4 In 2.75, 4 Os 2.75, 4 Si 2.91
Os: 0.5000 0.5000 0.0000  8 Si 2.75, 4 In 2.91

---

Record 4
Computed, not measured: a crystal of In2Si2Os relaxed with PBEsol at the SCAN level of DFT.

- Energy relative to the elements, uncorrected: 1173 meV per atom

Unit cell a=7.5783 b=7.5783 c=7.5783 alpha=151.68 beta=151.68 gamma=40.48
With the nearest neighbours (Å) after each atom.
Fractional positions:
In: 0.2500 0.7500 0.5000  4 In 2.62
In: 0.7500 0.2500 0.5000  4 In 2.62
Si: 0.0807 0.0807 0.0000  1 Si 2.30
Si: 0.9193 0.9193 0.0000  1 Si 2.30
Os: 0.5000 0.5000 0.0000  8 Si 2.86

---

Record 5
Computed, not measured: a crystal of InSi2Os2 relaxed with PBEsol at the SCAN level of DFT.

- Energy relative to the elements, uncorrected: -200 meV per atom

Unit cell a=6.5089 b=6.5089 c=6.5089 alpha=147.98 beta=147.98 gamma=45.92
With the nearest neighbours (Å) after each atom.
Fractional positions:
In: 0.0000 0.0000 0.0000  8 Os 2.90
Si: 0.2500 0.7500 0.5000  4 Os 2.40, 4 Si 2.54
Si: 0.7500 0.2500 0.5000  4 Os 2.40, 4 Si 2.54
Os: 0.3832 0.3832 0.0000  4 Si 2.40
Os: 0.6168 0.6168 0.0000  4 Si 2.40

---

Record 6
Computed, not measured: a crystal of SrTa2InOs relaxed with PBEsol at the SCAN level of DFT.

- Energy of formation from the pure elements: 894 meV/atom

Unit cell a=4.8259 b=4.8259 c=5.6825 alpha=90.00 beta=90.00 gamma=90.00
With the nearest neighbours (Å) after each atom.
Fractional positions:
Sr: 0.0000 0.0000 0.0000  2 Os 2.84
Ta: 0.0000 0.5000 0.5000  2 Os 2.41
Ta: 0.5000 0.0000 0.5000  2 Os 2.41
In: 0.5000 0.5000 0.0000  4 Sr 3.41, 8 Ta 3.73
Os: 0.0000 0.0000 0.5000  4 Ta 2.41

---

Record 7
Computed, not measured: a crystal of TaInOs2 relaxed with PBEsol at the SCAN level of DFT.

- Energy of formation from the pure elements: 274 meV/atom

Unit cell a=5.2523 b=5.2523 c=5.2523 alpha=145.84 beta=125.64 gamma=65.78
With the nearest neighbours (Å) after each atom.
Fractional positions:
Ta: 0.0000 0.0000 0.0000  4 Os 2.59, 4 In 2.85
In: 0.5000 0.5000 0.0000  4 Os 2.79, 4 Ta 2.85, 2 In 3.09
Os: 0.2360 0.7360 0.5000  2 Ta 2.59, 2 In 2.79, 4 Os 2.86
Os: 0.7640 0.2640 0.5000  2 Ta 2.59, 2 In 2.79, 4 Os 2.86

---

Record 8
Computed, not measured: a crystal of TaInOs2 relaxed with PBEsol at the SCAN level of DFT.

- Energy of formation from the pure elements: 160 meV/atom

Unit cell a=4.7127 b=4.7127 c=5.0498 alpha=101.62 beta=101.62 gamma=36.59
With the nearest neighbours (Å) after each atom.
Fractional positions:
Ta: 0.0000 0.0000 0.0000  6 Os 2.66-2.81, 4 In 2.93, 2 Ta 2.96
In: 0.5000 0.5000 0.5000  6 Os 2.78-2.86, 4 Ta 2.93, 2 In 2.96
Os: 0.2605 0.2605 0.7723  3 Ta 2.66-2.81, 4 Os 2.77-2.96, 3 In 2.78-2.86
Os: 0.7395 0.7395 0.2277  3 Ta 2.66-2.81, 4 Os 2.77-2.96, 3 In 2.78-2.86

---

no.,theoretical density (g/cm3),raw total energy (eV per atom)
1,10.65,-35.372
2,9.19,-31.107
3,9.74,-30.657
4,8.09,-30.564
5,11.85,-39.635
6,9.47,-51.248
7,17.20,-60.659
8,17.19,-60.772